# 1
A geometry-optimized In2SiHg structure. Source: Alexandria via LeMat-Bulk, functional PBE-GGA.

```
4
Lattice="3.322 0.225 0.000 -0.945 3.193 0.000 0.000 0.000 8.823" Properties=species:S:1:pos:R:3 pbc="T T T"
Si 0.000 0.000 4.439
In 0.000 0.000 8.751
In 1.189 1.709 2.480
Hg 1.189 1.709 6.389
```

Calculated values
space group: Cmm2
ρ: 7.97 g/cm³
raw total energy: -2.52 eV/atom
crystal system: orthorhombic
total magnetization: 0.00 μB/atom


# 2
A geometry-optimized SrAlZn2 structure. Source: Alexandria via LeMat-Bulk, functional PBE-GGA.

```
4
Lattice="-0.059 3.374 -0.800 -0.682 -0.796 -3.307 -7.226 0.215 1.438" Properties=species:S:1:pos:R:3 pbc="T T T"
Sr -5.831 1.451 -0.967
Zn -0.450 0.013 0.090
Zn -2.172 1.342 -1.695
Al -3.127 0.093 0.622
```

Calculated values
space group: P4mm
ρ: 4.60 g/cm³
crystal system: tetragonal
calculated formation energy: -0.17 eV/f.u.
total magnetization: 0.00 μB/atom


# 3
A geometry-optimized Er4TmGe4 structure. Source: Alexandria via LeMat-Bulk, functional PBE-GGA.

```
18
Lattice="-5.356 2.031 0.674 -2.028 -7.081 5.220 2.665 4.611 7.290" Properties=species:S:1:pos:R:3 pbc="T T T"
Ge -1.283 -0.103 9.203
Ge -2.990 3.861 8.375
Ge -2.222 -0.797 3.829
Ge -0.440 -2.587 9.900
Ge -3.872 -2.540 7.156
Ge -5.872 -2.731 5.330
Ge -0.137 0.577 2.763
Ge -2.061 2.561 6.181
Er -0.316 2.643 8.583
Er -1.206 -3.756 7.365
Er -2.604 2.100 3.291
Er 0.621 1.749 5.299
Er -3.742 1.417 9.730
Er -3.338 -2.076 10.047
Er -5.112 -0.289 3.975
Er -3.182 -3.545 4.447
Tm 0.000 0.000 0.000
Tm -2.360 -0.220 6.592
```

Calculated values
space group: P4_2/n
ρ: 7.97 g/cm³
crystal system: tetragonal
calculated formation energy: -5.14 eV/f.u.
total magnetization: 0.00 μB/atom


# 4
A geometry-optimized Pm6SmHg2 structure. Source: Alexandria via LeMat-Bulk, functional PBE-GGA.

```
9
Lattice="-0.671 -4.187 -2.911 3.487 1.766 -3.343 8.158 -5.282 5.717" Properties=species:S:1:pos:R:3 pbc="T T T"
Pm 1.863 -3.517 0.085
Pm 7.703 -2.976 2.505
Pm 5.624 -5.952 2.721
Pm 5.487 -3.852 -0.269
Pm 4.079 -2.641 2.859
Pm 3.942 -0.541 -0.131
Hg 8.592 -5.862 1.908
Hg 2.382 -1.841 -2.445
Sm 0.000 0.000 0.000
```

Calculated values
energy above the lowest structure with this stoichiometry: 150.8 meV/atom
space group: P4/mmm
ρ: 7.91 g/cm³
crystal system: tetragonal
calculated formation energy: -0.53 eV/f.u.
total magnetization: 0.00 μB/atom


# 5
A geometry-optimized ZnCr2S4 structure. Source: Alexandria via LeMat-Bulk, functional PBE-GGA.

```
14
Lattice="-7.038 0.866 -0.236 -3.913 -3.944 -4.413 -4.282 -5.030 2.589" Properties=species:S:1:pos:R:3 pbc="T T T"
S -13.169 -7.010 -1.781
S -7.665 -4.932 -2.815
S -11.208 -4.706 -2.967
S -9.946 -7.406 -1.673
S -5.872 -3.126 -0.794
S -11.377 -5.203 0.240
S -9.096 -2.729 -0.902
S -7.833 -5.430 0.391
Cr -9.521 -5.068 -1.288
Cr -7.380 -2.553 -2.582
Cr -6.002 -5.501 -1.170
Cr -7.564 -3.096 0.919
Zn 0.000 0.000 0.000
Zn -3.808 -2.027 -0.515
```

Calculated values
energy above the lowest structure with this stoichiometry: 0.0 meV/atom
space group: Fd-3m
ρ: 3.91 g/cm³
crystal system: cubic
total magnetization: 0.86 μB/atom


# 6
A geometry-optimized CuTe2W structure. Source: Alexandria via LeMat-Bulk, functional PBE-GGA.

```
4
Lattice="4.389 0.000 0.000 0.000 3.542 0.220 0.000 1.449 5.188" Properties=species:S:1:pos:R:3 pbc="T T T"
Te 2.195 1.447 1.762
Te 0.000 4.808 4.861
Cu 2.195 3.049 4.293
W 0.000 3.172 2.605
```

Calculated values
energy above the lowest structure with this stoichiometry: 130.3 meV/atom
space group: Pm
ρ: 10.53 g/cm³
crystal system: monoclinic
total magnetization: 0.00 μB/atom


# 7
A geometry-optimized CoNi14Ir structure. Source: Alexandria via LeMat-Bulk, functional PBE-GGA.

```
16
Lattice="-1.923 2.743 3.749 4.164 -2.716 0.749 4.581 6.384 -2.322" Properties=species:S:1:pos:R:3 pbc="T T T"
Ni 3.239 5.495 -0.256
Ni 3.015 0.902 1.300
Ni 5.243 2.070 1.580
Ni 2.898 -1.580 1.373
Ni 0.926 2.273 0.916
Ni 5.337 4.138 0.122
Ni 0.815 -0.222 0.997
Ni 4.369 5.509 2.012
Ni 1.937 -0.208 3.249
Ni -0.149 1.152 2.874
Ni 2.056 2.287 3.184
Ni 2.268 6.856 1.635
Ni 4.127 2.056 -0.660
Ni -0.024 3.662 2.797
Ir 3.162 3.430 1.211
Co 6.197 0.707 -0.285
```

Calculated values
space group: Amm2
ρ: 9.93 g/cm³
crystal system: orthorhombic
calculated formation energy: 0.24 eV/f.u.
total magnetization: 0.75 μB/atom


# 8
A geometry-optimized CsUTe3Pd structure. Source: Alexandria via LeMat-Bulk, functional PBE-GGA.

```
12
Lattice="-1.654 2.755 -2.956 -8.798 -5.278 0.003 0.491 8.095 7.272" Properties=species:S:1:pos:R:3 pbc="T T T"
Cs -7.726 3.986 3.202
Cs -2.235 1.586 1.117
Te -4.636 4.771 5.430
Te -2.783 5.358 1.714
Te -7.178 0.215 2.604
Te -8.932 -1.485 -1.223
Te -5.324 0.801 -1.112
Te -1.028 7.057 5.542
U -3.546 7.225 3.883
U -6.414 -1.653 0.436
Pd -0.898 5.073 3.620
Pd -9.062 0.499 0.699
```

Calculated values
space group: P2_1/m
ρ: 6.45 g/cm³
raw total energy: -5.21 eV/atom
crystal system: monoclinic
total magnetization: 0.27 μB/atom


# 9
A geometry-optimized AcSbPt2 structure. Source: Alexandria via LeMat-Bulk, functional PBE-GGA.

```
4
Lattice="4.151 0.000 0.000 0.000 5.016 0.775 0.000 -0.918 4.992" Properties=species:S:1:pos:R:3 pbc="T T T"
Sb 2.075 2.076 2.864
Pt 2.075 -0.306 1.916
Pt 2.075 2.187 5.426
Ac 0.000 -0.420 4.637
```

Calculated values
energy above the lowest structure with this stoichiometry: 70.4 meV/atom
space group: Amm2
ρ: 11.48 g/cm³
crystal system: orthorhombic
total magnetization: 0.00 μB/atom


# 10
A geometry-optimized MgMoRh structure. Source: Alexandria via LeMat-Bulk, functional PBE-GGA.

```
3
Lattice="-3.713 1.310 -2.010 -0.142 -3.221 3.025 -0.412 1.889 1.992" Properties=species:S:1:pos:R:3 pbc="T T T"
Rh -1.594 -0.513 2.610
Mg -0.402 1.843 1.944
Mo -2.684 0.537 0.446
```

Calculated values
energy above the lowest structure with this stoichiometry: 83.4 meV/atom
space group: P3m1
ρ: 7.89 g/cm³
crystal system: trigonal
calculated formation energy: -0.02 eV/f.u.
total magnetization: 0.00 μB/atom


# 11
A geometry-optimized Cu3PbAu3 structure. Source: Alexandria via LeMat-Bulk, functional PBE-GGA.

```
14
Lattice="6.945 0.000 0.000 0.000 6.945 0.000 0.000 0.000 6.945" Properties=species:S:1:pos:R:3 pbc="T T T"
Cu 1.736 0.000 3.472
Cu 0.000 3.472 5.208
Cu 3.472 5.208 0.000
Cu 5.208 0.000 3.472
Cu 0.000 3.472 1.736
Cu 3.472 1.736 0.000
Au 1.736 3.472 0.000
Au 0.000 1.736 3.472
Au 3.472 0.000 1.736
Au 3.472 0.000 5.208
Au 5.208 3.472 0.000
Au 0.000 5.208 3.472
Pb 0.000 0.000 0.000
Pb 3.472 3.472 3.472
```

Calculated values
space group: Pm-3n
ρ: 9.80 g/cm³
crystal system: cubic
calculated formation energy: 3.45 eV/f.u.
total magnetization: 0.00 μB/atom


# 12
A geometry-optimized TcPd2Pt structure. Source: Alexandria via LeMat-Bulk, functional PBE-GGA.

```
4
Lattice="-2.128 -1.739 -0.216 1.726 -2.023 -0.726 0.864 -2.009 7.649" Properties=species:S:1:pos:R:3 pbc="T T T"
Pd 0.024 -2.404 1.523
Pd 0.001 -0.001 0.005
Pt 0.437 -3.364 5.177
Tc 0.432 -1.005 3.826
```

Calculated values
energy above the lowest structure with this stoichiometry: 0.0 meV/atom
space group: P4mm
ρ: 13.90 g/cm³
crystal system: tetragonal
calculated formation energy: -0.40 eV/f.u.
total magnetization: 0.00 μB/atom


What is the total magnetization in the first record?
0.00 μB/atom


What did the first record say?
A geometry-optimized In2SiHg structure. Source: Alexandria via LeMat-Bulk, functional PBE-GGA.

```
4
Lattice="3.322 0.225 0.000 -0.945 3.193 0.000 0.000 0.000 8.823" Properties=species:S:1:pos:R:3 pbc="T T T"
Si 0.000 0.000 4.439
In 0.000 0.000 8.751
In 1.189 1.709 2.480
Hg 1.189 1.709 6.389
```

Calculated values
space group: Cmm2
ρ: 7.97 g/cm³
raw total energy: -2.52 eV/atom
crystal system: orthorhombic
total magnetization: 0.00 μB/atom


Number 1 is which compound?
In2SiHg


The highest total magnetization belongs to which entry?
ZnCr2S4